1.
A geometry-optimized Y12Er3In structure. Source: Alexandria via LeMat-Bulk, functional PBE.

Computed properties:
Formation energy (meV per atom): -44
SG: P4/mmm

a = 4.9693 Å, b = 4.9693 Å, c = 20.1947 Å
α = 90.00°, β = 90.00°, γ = 90.00°
Sites, in units of the cell vectors:
In (0.0000, 0.0000, 0.0000)
Y (0.0000, 0.5000, 0.8789)
Y (0.5000, 0.0000, 0.1211)
Y (0.5000, 0.5000, 0.2450)
Y (0.0000, 0.5000, 0.6264)
Y (0.5000, 0.0000, 0.3736)
Y (0.5000, 0.5000, 0.7550)
Y (0.0000, 0.5000, 0.1211)
Y (0.5000, 0.0000, 0.8789)
Y (0.5000, 0.5000, 0.0000)
Y (0.5000, 0.5000, 0.5000)
Y (0.0000, 0.5000, 0.3736)
Y (0.5000, 0.0000, 0.6264)
Er (0.0000, 0.0000, 0.7513)
Er (0.0000, 0.0000, 0.5000)
Er (0.0000, 0.0000, 0.2487)

---

2.
A geometry-optimized GdAg2Hg structure. Source: Alexandria via LeMat-Bulk, functional PBE.

Computed properties:
Formation energy (meV per atom): -160
SG: P4/mmm

a = 3.7221 Å, b = 3.7221 Å, c = 6.5761 Å
α = 90.00°, β = 90.00°, γ = 90.00°
Each line ends with the local moment (μB).
Sites, in units of the cell vectors:
Hg (0.5000, 0.5000, 0.0000)  0.01
Ag (0.0000, 0.0000, 0.7611)  0.00
Ag (0.0000, 0.0000, 0.2389)  0.00
Gd (0.5000, 0.5000, 0.5000)  7.03

---

3.
A geometry-optimized NaPaNiTe3 structure. Source: Alexandria via LeMat-Bulk, functional PBE.

Computed properties:
SG: P2_1/m
Calculated total energy (eV/atom): -5.048

a = 4.1247 Å, b = 8.6840 Å, c = 10.5229 Å
α = 109.96°, β = 90.00°, γ = 90.00°
Each line ends with the local moment (μB).
Sites, in units of the cell vectors:
Pa (0.7500, 0.2982, 0.8210)  -0.24
Pa (0.2500, 0.7018, 0.1790)  -0.24
Na (0.2500, 0.2444, 0.2922)  0.00
Na (0.7500, 0.7556, 0.7078)  0.00
Te (0.7500, 0.4216, 0.1404)  0.01
Te (0.2500, 0.7829, 0.4736)  0.01
Te (0.7500, 0.2171, 0.5264)  0.01
Te (0.7500, 0.9422, 0.1502)  0.01
Te (0.2500, 0.5784, 0.8596)  0.01
Te (0.2500, 0.0578, 0.8498)  0.01
Ni (0.7500, 0.8939, 0.3770)  0.06
Ni (0.2500, 0.1061, 0.6230)  0.06

---

4.
A geometry-optimized Li2CuSi structure. Source: Alexandria via LeMat-Bulk, functional PBE.

Computed properties:
SG: R-3m
Calculated total energy (eV/atom): -3.353

a = 8.8059 Å, b = 8.8059 Å, c = 8.8059 Å
α = 17.57°, β = 17.57°, γ = 17.57°
Sites, in units of the cell vectors:
Li (0.9993, 0.9993, 0.9993)
Li (0.5007, 0.5007, 0.5007)
Cu (0.7500, 0.7500, 0.7500)
Si (0.2500, 0.2500, 0.2500)

---

5.
A geometry-optimized CdIr2Ru structure. Source: Alexandria via LeMat-Bulk, functional PBE.

Computed properties:
Formation energy (meV per atom): 473
SG: P4/mmm

a = 4.7265 Å, b = 4.7265 Å, c = 2.8428 Å
α = 90.00°, β = 90.00°, γ = 90.00°
Each line ends with the local moment (μB).
Sites, in units of the cell vectors:
Ir (0.5000, 0.5000, 0.0000)  0.40
Ir (0.0000, 0.0000, 0.0000)  0.40
Ru (0.5000, 0.0000, 0.5000)  0.86
Cd (0.0000, 0.5000, 0.5000)  0.00

---

6.
A geometry-optimized AlSnOsPb2 structure. Source: Alexandria via LeMat-Bulk, functional PBE.

Computed properties:
Formation energy (meV per atom): 467
SG: P4/mmm

a = 5.3376 Å, b = 4.8230 Å, c = 5.3376 Å
α = 90.00°, β = 90.00°, γ = 90.00°
Each line ends with the local moment (μB).
Sites, in units of the cell vectors:
Pb (0.5000, 0.0000, 0.0000)  0.03
Pb (0.0000, 0.0000, 0.5000)  0.02
Os (0.0000, 0.0000, 0.0000)  0.23
Al (0.0000, 0.5000, 0.0000)  0.01
Sn (0.5000, 0.5000, 0.5000)  0.20

---

7.
A geometry-optimized NaRe2Pb structure. Source: Alexandria via LeMat-Bulk, functional PBE.

Computed properties:
Formation energy (meV per atom): 1615
SG: I-42d

a = 8.1530 Å, b = 8.1530 Å, c = 6.2992 Å
α = 49.67°, β = 49.67°, γ = 90.00°
Each line ends with the local moment (μB).
Sites, in units of the cell vectors:
Re (0.6620, 0.1250, 0.2500)  0.26
Re (0.8750, 0.9120, 0.7500)  0.26
Re (0.3750, 0.3380, 0.7500)  0.27
Re (0.0880, 0.6250, 0.2500)  0.24
Na (0.5000, 0.5000, 0.0000)  0.00
Na (0.2500, 0.7500, 0.5000)  0.00
Pb (0.7500, 0.2500, 0.5000)  -0.01
Pb (0.0000, 0.0000, 0.0000)  -0.01

---

8.
A geometry-optimized SrZn2Cd structure. Source: Alexandria via LeMat-Bulk, functional PBE.

Computed properties:
Formation energy (meV per atom): -180
SG: C2/m

a = 4.6485 Å, b = 4.6485 Å, c = 6.0244 Å
α = 67.58°, β = 67.58°, γ = 59.99°
Sites, in units of the cell vectors:
Zn (0.5473, 0.5473, 0.3578)
Zn (0.9527, 0.9527, 0.1422)
Cd (0.2500, 0.2500, 0.2500)
Sr (0.7500, 0.7500, 0.7500)

---

9.
A geometry-optimized Y5Ho3Tm4 structure. Source: Alexandria via LeMat-Bulk, functional PBE.

Computed properties:
Energy above the most stable polymorph in this dataset (eV per atom): 0.000
Formation energy (meV per atom): 27
SG: P-1

a = 7.0708 Å, b = 11.1642 Å, c = 12.7313 Å
α = 151.29°, β = 56.33°, γ = 129.26°
Sites, in units of the cell vectors:
Tm (0.9174, 0.8323, 0.6661)
Tm (0.1640, 0.3299, 0.1657)
Tm (0.8360, 0.6701, 0.8343)
Tm (0.0826, 0.1677, 0.3339)
Y (0.2504, 0.4995, 0.9995)
Y (0.6650, 0.3338, 0.1687)
Y (0.3350, 0.6662, 0.8313)
Y (0.5000, 0.0000, 0.5000)
Y (0.7496, 0.5005, 0.0005)
Ho (0.4149, 0.8323, 0.6660)
Ho (0.5851, 0.1677, 0.3340)
Ho (0.0000, 0.0000, 0.5000)

---

10.
A geometry-optimized Dy3ThAl4 structure. Source: Alexandria via LeMat-Bulk, functional PBE.

Computed properties:
Formation energy (meV per atom): -338
SG: P4/mmm

a = 5.1241 Å, b = 7.3379 Å, c = 10.2474 Å
α = 90.00°, β = 90.00°, γ = 90.00°
Sites, in units of the cell vectors:
Dy (0.4993, 0.5000, 0.2500)
Dy (0.4991, 0.0000, 0.2500)
Dy (0.0000, 0.0000, 0.5000)
Dy (0.0000, 0.0000, 0.0000)
Dy (0.5007, 0.5000, 0.7500)
Dy (0.5009, 0.0000, 0.7500)
Al (0.0009, 0.2402, 0.7500)
Al (0.9991, 0.7598, 0.2500)
Al (0.5000, 0.7598, 0.5000)
Al (0.5000, 0.2402, 0.5000)
Al (0.5000, 0.7598, 0.0000)
Al (0.9991, 0.2402, 0.2500)
Al (0.5000, 0.2402, 0.0000)
Al (0.0009, 0.7598, 0.7500)
Th (0.0000, 0.5000, 0.0000)
Th (0.0000, 0.5000, 0.5000)

---

11.
A geometry-optimized BaCaBr2 structure. Source: Alexandria via LeMat-Bulk, functional PBE.

Computed properties:
Energy above the most stable polymorph in this dataset (eV per atom): 0.045
SG: Pmmm

a = 4.4091 Å, b = 4.2215 Å, c = 7.5223 Å
α = 89.99°, β = 90.00°, γ = 90.00°
Sites, in units of the cell vectors:
Br (0.0000, 0.2497, 0.5227)
Br (0.0000, 0.2503, 0.9773)
Ba (0.5000, 0.7500, 0.7500)
Ca (0.5000, 0.2500, 0.2500)

---

12.
A geometry-optimized VHg2Bi2 structure. Source: Alexandria via LeMat-Bulk, functional PBE.

Computed properties:
Energy above the most stable polymorph in this dataset (eV per atom): 0.000
Formation energy (meV per atom): 429
SG: P4/mbm

a = 7.5511 Å, b = 7.5511 Å, c = 4.6277 Å
α = 90.00°, β = 90.00°, γ = 90.00°
Each line ends with the local moment (μB).
Sites, in units of the cell vectors:
V (0.0000, 0.0000, 0.0000)  2.79
V (0.5000, 0.5000, 0.0000)  2.79
Hg (0.8557, 0.6443, 0.0000)  0.03
Hg (0.1443, 0.3557, 0.0000)  0.03
Hg (0.6443, 0.1443, 0.0000)  0.03
Hg (0.3557, 0.8557, 0.0000)  0.03
Bi (0.6642, 0.8358, 0.5000)  -0.06
Bi (0.8358, 0.3358, 0.5000)  -0.06
Bi (0.1642, 0.6642, 0.5000)  -0.06
Bi (0.3358, 0.1642, 0.5000)  -0.06

---

Number 1: M_tot 0.0 μB per formula unit, density of states at the Fermi level 21.006 states/eV/f.u.. Number 2: M_tot 7.2 μB per formula unit, density of states at the Fermi level 3.422 states/eV/f.u.. Number 3: M_tot 0.2 μB per formula unit, density of states at the Fermi level 1.766 states/eV/f.u.. Number 4: M_tot 0.0 μB per formula unit, density of states at the Fermi level 1.098 states/eV/f.u.. Number 5: M_tot 1.7 μB per formula unit, density of states at the Fermi level 5.331 states/eV/f.u.. Number 6: M_tot 0.8 μB per formula unit, density of states at the Fermi level 5.875 states/eV/f.u.. Number 7: M_tot 0.6 μB per formula unit, density of states at the Fermi level 3.610 states/eV/f.u.. Number 8: M_tot 0.0 μB per formula unit, density of states at the Fermi level 1.988 states/eV/f.u.. Number 9: M_tot 0.0 μB per formula unit, density of states at the Fermi level 16.853 states/eV/f.u.. Number 10: M_tot 0.0 μB per formula unit, density of states at the Fermi level 4.304 states/eV/f.u.. Number 11: M_tot 0.0 μB per formula unit, density of states at the Fermi level 2.887 states/eV/f.u.. Number 12: M_tot 3.4 μB per formula unit, density of states at the Fermi level 4.951 states/eV/f.u..